Density functional theory data (PBEsol) for an optimized crystal structure of K3TiPt.

a b c (Å): 5.9514 5.9514 5.9514
angles (deg): 90.00 90.00 90.00
With the nearest neighbours (Å) after each atom.
Space group Pm-3m (No. 221)
One atom of each set of equivalent atoms:
K 0.0000 0.0000 0.5000 [3 per cell]  2 Ti 2.98
Ti 0.0000 0.0000 0.0000 [1 per cell]  6 K 2.98
Pt 0.5000 0.5000 0.5000 [1 per cell]  12 K 4.21

## Properties
- D(E_F) (states/eV/atom) = 2.679

Density functional theory data (PBEsol) for an optimized crystal structure of K2Ti2Pt.

a b c (Å): 3.7493 3.7493 15.9264
angles (deg): 90.00 90.00 90.00
With the nearest neighbours (Å) after each atom.
Space group I4/mmm (No. 139)
One atom of each set of equivalent atoms:
K 0.0000 0.5000 0.2500 [4 per cell]  4 K 2.65
Ti 0.0000 0.0000 0.0654 [4 per cell]  1 Ti 2.08
Pt 0.0000 0.0000 0.5000 [2 per cell]  8 Ti 2.85

## Properties
- D(E_F) (states/eV/atom) = 0.784

Density functional theory data (PBEsol) for an optimized crystal structure of KTl2Pt2.

a b c (Å): 3.8634 3.8634 17.1286
angles (deg): 90.00 90.00 90.00
With the nearest neighbours (Å) after each atom.
Space group I4/mmm (No. 139)
One atom of each set of equivalent atoms:
K 0.0000 0.0000 0.0000 [2 per cell]  8 Tl 3.55, 4 K 3.86
Tl 0.0000 0.0000 0.3674 [4 per cell]  4 Pt 2.79
Pt 0.0000 0.5000 0.2500 [4 per cell]  4 Pt 2.73, 4 Tl 2.79

## Properties
- D(E_F) (states/eV/atom) = 0.360

Density functional theory data (PBEsol) for an optimized crystal structure of KTl2Pt.

a b c (Å): 3.4385 3.4385 8.3577
angles (deg): 90.00 90.00 90.00
With the nearest neighbours (Å) after each atom.
Space group P4/mmm (No. 123)
One atom of each set of equivalent atoms:
K 0.0000 0.0000 0.0000 [1 per cell]  4 K 3.44, 8 Tl 3.53
Tl 0.5000 0.5000 0.3057 [2 per cell]  4 Pt 2.92, 1 Tl 3.25
Pt 0.0000 0.0000 0.5000 [1 per cell]  8 Tl 2.92

## Properties
- D(E_F) (states/eV/atom) = 0.399

Density functional theory data (PBEsol) for an optimized crystal structure of KTl2Pt.

a b c (Å): 6.2314 10.1205 3.0316
angles (deg): 90.00 90.00 90.00
With the nearest neighbours (Å) after each atom.
Space group Cmmm (No. 65)
One atom of each set of equivalent atoms:
K 0.0000 0.0000 0.0000 [2 per cell]  2 K 3.03, 2 Pt 3.12, 8 Tl 3.34
Tl 0.2500 0.2500 0.5000 [4 per cell]  4 Tl 3.03-3.12, 4 K 3.34, 4 Pt 3.34
Pt 0.0000 0.5000 0.0000 [2 per cell]  2 Pt 3.03, 2 K 3.12, 8 Tl 3.34

## Properties
- D(E_F) (states/eV/atom) = 0.434

Density functional theory data (PBEsol) for an optimized crystal structure of KTl3Pt.

a b c (Å): 5.3504 5.3504 5.3504
angles (deg): 90.00 90.00 90.00
With the nearest neighbours (Å) after each atom.
Space group Pm-3m (No. 221)
One atom of each set of equivalent atoms:
K 0.0000 0.0000 0.0000 [1 per cell]  12 Tl 3.78
Tl 0.0000 0.5000 0.5000 [3 per cell]  2 Pt 2.68
Pt 0.5000 0.5000 0.5000 [1 per cell]  6 Tl 2.68

## Properties
- D(E_F) (states/eV/atom) = 0.631

Density functional theory data (PBEsol) for an optimized crystal structure of KTl2Pt.

a b c (Å): 7.6163 4.3785 7.4227
angles (deg): 90.00 109.71 90.00
With the nearest neighbours (Å) after each atom.
Space group C2/m (No. 12)
One atom of each set of equivalent atoms:
K 0.0000 0.0000 0.0000 [2 per cell]  6 Tl 3.44-3.45
Tl 0.2220 0.0000 0.6664 [4 per cell]  3 Pt 2.79
Pt 0.0000 0.5000 0.5000 [2 per cell]  6 Tl 2.79

## Properties
- D(E_F) (states/eV/atom) = 0.365

Density functional theory data (PBEsol) for an optimized crystal structure of KTlPt.

a b c (Å): 4.6314 4.6314 4.6571
angles (deg): 90.00 90.00 120.00
With the nearest neighbours (Å) after each atom.
Space group P-6m2 (No. 187)
One atom of each set of equivalent atoms:
K 0.0000 0.0000 0.0000 [1 per cell]  6 Tl 3.55, 6 Pt 3.55
Tl 0.6667 0.3333 0.5000 [1 per cell]  3 Pt 2.67
Pt 0.3333 0.6667 0.5000 [1 per cell]  3 Tl 2.67

## Properties
- D(E_F) (states/eV/atom) = 0.380

Density functional theory data (PBEsol) for an optimized crystal structure of KTl2Pt.

a b c (Å): 3.1452 5.7913 11.4816
angles (deg): 90.00 90.00 90.00
With the nearest neighbours (Å) after each atom.
Space group Immm (No. 71)
One atom of each set of equivalent atoms:
K 0.0000 0.0000 0.0000 [2 per cell]  2 K 3.15, 4 Pt 3.30
Tl 0.0000 0.5000 0.2014 [4 per cell]  2 Pt 2.80
Pt 0.0000 0.0000 0.5000 [2 per cell]  4 Tl 2.80

## Properties
- D(E_F) (states/eV/atom) = 0.378

Density functional theory data (PBEsol) for an optimized crystal structure of KTlPt4.

a b c (Å): 7.6223 7.6223 7.6223
angles (deg): 90.00 90.00 90.00
With the nearest neighbours (Å) after each atom.
Space group F-43m (No. 216)
One atom of each set of equivalent atoms:
K 0.0000 0.0000 0.0000 [4 per cell]  12 Pt 3.16, 4 Tl 3.30
Tl 0.2500 0.2500 0.7500 [4 per cell]  12 Pt 3.16, 4 K 3.30
Pt 0.1248 0.1248 0.3752 [16 per cell]  6 Pt 2.69-2.70

## Properties
- D(E_F) (states/eV/atom) = 0.485

Density functional theory data (PBEsol) for an optimized crystal structure of KTl2Pt.

a b c (Å): 4.4812 4.4863 7.1370
angles (deg): 71.71 71.74 60.17
With the nearest neighbours (Å) after each atom.
Space group P1 (No. 1)
One atom of each set of equivalent atoms:
K 0.0000 0.0000 0.0000 [1 per cell]  6 Tl 3.39-3.48, 1 Pt 3.44
Tl 0.2174 0.2199 0.3488 [1 per cell]  3 Pt 2.82
Tl 0.4434 0.4447 0.6707 [1 per cell]  3 Pt 2.78-2.79
Pt 0.8281 0.8301 0.5167 [1 per cell]  6 Tl 2.78-2.82

## Properties
- D(E_F) (states/eV/atom) = 0.426

Density functional theory data (PBEsol) for an optimized crystal structure of KTlPt3.

a b c (Å): 5.0750 5.0750 5.0750
angles (deg): 90.00 90.00 90.00
With the nearest neighbours (Å) after each atom.
Space group Pm-3m (No. 221)
One atom of each set of equivalent atoms:
K 0.0000 0.0000 0.0000 [1 per cell]  12 Pt 3.59
Tl 0.5000 0.5000 0.5000 [1 per cell]  6 Pt 2.54
Pt 0.0000 0.5000 0.5000 [3 per cell]  2 Tl 2.54

## Properties
- D(E_F) (states/eV/atom) = 0.442

Number 1: formation energy from the elements 1545 meV/atom, V 42.2 Å³ per atom. Number 2: formation energy from the elements 866 meV/atom, V 22.4 Å³ per atom. Number 3: formation energy from the elements -106 meV/atom, V 25.6 Å³ per atom. Number 4: formation energy from the elements -100 meV/atom, V 24.7 Å³ per atom. Number 5: formation energy from the elements 259 meV/atom, V 23.9 Å³ per atom. Number 6: formation energy from the elements -25 meV/atom, V 30.6 Å³ per atom. Number 7: formation energy from the elements -85 meV/atom, V 29.1 Å³ per atom. Number 8: formation energy from the elements 0 meV/atom, V 28.8 Å³ per atom. Number 9: formation energy from the elements -54 meV/atom, V 26.1 Å³ per atom. Number 10: formation energy from the elements -97 meV/atom, V 18.5 Å³ per atom. Number 11: formation energy from the elements -100 meV/atom, V 29.0 Å³ per atom. Number 12: formation energy from the elements 968 meV/atom, V 26.1 Å³ per atom.